No. 1
{"formula": "BaZnAg3", "functional": "PBE", "state": "relaxed", "space_group": "Pm-3m (221)", "delta_e_f_mev_per_atom": 977, "e_above_lowest_polymorph_mev_per_atom": 1102, "lattice_angstrom": [[6.334, 0.000, 0.000], [0.000, 6.334, 0.000], [0.000, 0.000, 6.334]], "species": ["Ba", "Zn", "Ag", "Ag", "Ag"], "fractional_positions": [[0.000, 0.000, 0.000], [0.500, 0.500, 0.500], [0.000, 0.500, 0.000], [0.000, 0.000, 0.500], [0.500, 0.000, 0.000]]}

---

No. 2
{"formula": "Ba2ZnAg", "functional": "PBE", "state": "relaxed", "space_group": "P4mm (99)", "delta_e_f_mev_per_atom": -83, "lattice_angstrom": [[-1.459, 4.657, 0.039], [-3.917, -1.204, -2.664], [-3.588, -1.173, 5.806]], "species": ["Ba", "Ba", "Zn", "Ag"], "fractional_positions": [[0.500, 0.500, 0.374], [0.000, 0.000, 0.876], [0.000, 0.000, 0.376], [0.500, 0.500, 0.874]]}

---

No. 3
{"formula": "BaZnAg2", "functional": "PBE", "state": "relaxed", "space_group": "Pm (6)", "delta_e_f_mev_per_atom": -66, "lattice_angstrom": [[-4.142, -1.511, 0.519], [1.083, -1.933, 3.013], [-0.837, 4.076, 5.188]], "species": ["Zn", "Ba", "Ag", "Ag"], "fractional_positions": [[0.500, 0.906, 0.812], [0.000, 0.545, 0.527], [0.500, 0.245, 0.139], [0.000, 0.805, 0.022]]}

---

No. 4
{"formula": "Ba3ZnAg3", "functional": "PBE", "state": "relaxed", "space_group": "C2/m (12)", "delta_e_f_mev_per_atom": -257, "e_above_lowest_polymorph_mev_per_atom": 0, "lattice_angstrom": [[-2.949, 1.393, -3.452], [-6.345, -0.559, 1.929], [-0.791, 15.773, 3.774]], "species": ["Ag", "Ag", "Ag", "Ag", "Ag", "Ag", "Zn", "Zn", "Ba", "Ba", "Ba", "Ba", "Ba", "Ba"], "fractional_positions": [[0.877, 0.690, 0.556], [0.108, 0.861, 0.922], [0.935, 0.892, 0.238], [0.123, 0.310, 0.444], [0.892, 0.139, 0.078], [0.065, 0.108, 0.762], [0.730, 0.158, 0.383], [0.270, 0.842, 0.617], [0.237, 0.295, 0.231], [0.597, 0.727, 0.078], [0.430, 0.741, 0.398], [0.403, 0.273, 0.922], [0.763, 0.705, 0.769], [0.570, 0.259, 0.602]]}

---

No. 5
{"formula": "Ba2Zn2Ag15", "functional": "PBE", "state": "relaxed", "space_group": "R-3m (166)", "delta_e_f_mev_per_atom": -83, "lattice_angstrom": [[7.435, -0.030, -0.027], [0.935, 7.376, -0.027], [0.935, 0.820, 7.331]], "species": ["Ag", "Ag", "Ag", "Ag", "Ag", "Ag", "Ag", "Ag", "Ag", "Ag", "Ag", "Ag", "Ag", "Ag", "Ag", "Zn", "Zn", "Ba", "Ba"], "fractional_positions": [[0.658, 0.150, 0.658], [0.000, 0.295, 0.705], [0.295, 0.705, 0.000], [0.705, 0.295, 0.000], [0.500, 0.000, 0.000], [0.150, 0.658, 0.658], [0.000, 0.500, 0.000], [0.705, 0.000, 0.295], [0.658, 0.658, 0.150], [0.342, 0.850, 0.342], [0.342, 0.342, 0.850], [0.000, 0.705, 0.295], [0.000, 0.000, 0.500], [0.295, 0.000, 0.705], [0.850, 0.342, 0.342], [0.906, 0.906, 0.906], [0.094, 0.094, 0.094], [0.343, 0.343, 0.343], [0.657, 0.657, 0.657]]}

---

No. 6
{"formula": "BaZn2Ag", "functional": "PBE", "state": "relaxed", "space_group": "Pm (6)", "delta_e_f_mev_per_atom": -74, "lattice_angstrom": [[4.239, 0.000, 0.000], [0.000, 4.285, -0.500], [0.000, 0.702, 5.940]], "species": ["Ag", "Zn", "Zn", "Ba"], "fractional_positions": [[0.000, 0.624, 0.325], [0.500, 0.126, 0.312], [0.000, 0.125, 0.071], [0.500, 0.625, 0.792]]}

---

No. 7
{"formula": "BaZn3Ag3", "functional": "PBE", "state": "relaxed", "space_group": "R-3 (148)", "delta_e_f_mev_per_atom": -5, "e_above_lowest_polymorph_mev_per_atom": 0, "lattice_angstrom": [[7.253, 0.000, 0.000], [3.627, 6.282, 0.000], [3.627, 2.094, 7.101]], "species": ["Ag", "Ag", "Ag", "Ag", "Ag", "Ag", "Zn", "Zn", "Zn", "Zn", "Zn", "Zn", "Ba", "Ba"], "fractional_positions": [[0.921, 0.136, 0.257], [0.079, 0.864, 0.743], [0.864, 0.314, 0.743], [0.314, 0.079, 0.743], [0.686, 0.921, 0.257], [0.136, 0.686, 0.257], [0.294, 0.868, 0.382], [0.544, 0.706, 0.618], [0.706, 0.132, 0.618], [0.456, 0.294, 0.382], [0.132, 0.544, 0.618], [0.868, 0.456, 0.382], [0.666, 0.666, 0.003], [0.334, 0.334, 0.997]]}

---

No. 8
{"formula": "Ba3Zn3Ag2", "functional": "PBE", "state": "relaxed", "space_group": "Cmcm (63)", "delta_e_f_mev_per_atom": -223, "lattice_angstrom": [[-2.288, 1.661, 3.864], [-4.053, -3.127, -4.021], [3.246, -14.927, 8.338]], "species": ["Zn", "Zn", "Zn", "Zn", "Zn", "Zn", "Ba", "Ba", "Ba", "Ba", "Ba", "Ba", "Ag", "Ag", "Ag", "Ag"], "fractional_positions": [[0.579, 0.158, 0.448], [0.718, 0.437, 0.750], [0.421, 0.842, 0.948], [0.282, 0.563, 0.250], [0.579, 0.158, 0.052], [0.421, 0.842, 0.552], [0.136, 0.271, 0.907], [0.578, 0.155, 0.250], [0.864, 0.729, 0.093], [0.136, 0.271, 0.593], [0.864, 0.729, 0.407], [0.422, 0.845, 0.750], [0.155, 0.309, 0.387], [0.155, 0.309, 0.113], [0.845, 0.691, 0.887], [0.845, 0.691, 0.613]]}

---

No. 9
{"formula": "Ba2ZnAg", "functional": "PBE", "state": "relaxed", "space_group": "P4/mmm (123)", "delta_e_f_mev_per_atom": -191, "lattice_angstrom": [[-4.748, 2.320, -2.496], [2.098, -1.381, -5.277], [-1.875, -3.620, 0.202]], "species": ["Zn", "Ba", "Ba", "Ag"], "fractional_positions": [[0.500, 0.000, 0.500], [0.500, 0.500, 0.000], [0.000, 0.000, 0.000], [0.000, 0.500, 0.500]]}

---

No. 10
{"formula": "Ba2ZnAg", "functional": "PBE", "state": "relaxed", "space_group": "I-42d (122)", "delta_e_f_mev_per_atom": 53, "lattice_angstrom": [[8.933, 0.000, 0.000], [0.000, 8.933, 0.000], [4.467, 4.467, 4.085]], "species": ["Ag", "Ag", "Ba", "Ba", "Ba", "Ba", "Zn", "Zn"], "fractional_positions": [[0.000, 0.000, 0.000], [0.750, 0.250, 0.500], [0.124, 0.625, 0.250], [0.875, 0.876, 0.750], [0.626, 0.125, 0.250], [0.375, 0.374, 0.750], [0.500, 0.500, 0.000], [0.250, 0.750, 0.500]]}

---

No. 11
{"formula": "BaZn3Ag3", "functional": "PBE", "state": "relaxed", "space_group": "Pm-3n (223)", "delta_e_f_mev_per_atom": 52, "e_above_lowest_polymorph_mev_per_atom": 57, "lattice_angstrom": [[-4.604, -5.419, 1.143], [1.751, -0.014, 6.986], [-5.254, 4.743, 1.327]], "species": ["Ag", "Ag", "Ag", "Ag", "Ag", "Ag", "Ba", "Ba", "Zn", "Zn", "Zn", "Zn", "Zn", "Zn"], "fractional_positions": [[0.250, 0.000, 0.500], [0.500, 0.250, 0.000], [0.750, 0.000, 0.500], [0.000, 0.500, 0.250], [0.000, 0.500, 0.750], [0.500, 0.750, 0.000], [0.000, 0.000, 0.000], [0.500, 0.500, 0.500], [0.500, 0.000, 0.750], [0.000, 0.750, 0.500], [0.500, 0.000, 0.250], [0.750, 0.500, 0.000], [0.250, 0.500, 0.000], [0.000, 0.250, 0.500]]}

---

No. 12
{"formula": "Ba2ZnAg", "functional": "PBE", "state": "relaxed", "space_group": "C2/m (12)", "delta_e_f_mev_per_atom": -86, "lattice_angstrom": [[-3.044, 2.085, -3.141], [-4.788, -0.331, 0.670], [-2.445, 7.423, 3.589]], "species": ["Zn", "Ag", "Ba", "Ba"], "fractional_positions": [[0.750, 0.750, 0.750], [0.250, 0.250, 0.250], [0.503, 0.503, 0.492], [0.997, 0.997, 0.008]]}

---

No. 13
{"formula": "BaZnAg2", "functional": "PBE", "state": "relaxed", "space_group": "R3m (160)", "delta_e_f_mev_per_atom": -196, "lattice_angstrom": [[4.729, -0.019, 0.009], [2.377, 4.088, 0.009], [2.353, 1.347, 5.607]], "species": ["Ba", "Ag", "Ag", "Zn"], "fractional_positions": [[0.504, 0.504, 0.488], [0.990, 0.990, 0.031], [0.702, 0.702, 0.895], [0.305, 0.305, 0.086]]}

---

No. 14
{"formula": "Ba2ZnAg", "functional": "PBE", "state": "relaxed", "space_group": "Imm2 (44)", "delta_e_f_mev_per_atom": -118, "lattice_angstrom": [[-2.688, 5.638, 2.693], [-0.292, 0.537, 6.774], [4.124, -0.895, -5.335]], "species": ["Ba", "Ba", "Zn", "Ag"], "fractional_positions": [[0.024, 0.024, 0.000], [0.723, 0.223, 0.500], [0.451, 0.451, 0.000], [0.302, 0.802, 0.500]]}

---

No. 15
{"formula": "Ba2Zn5Ag3", "functional": "PBE", "state": "relaxed", "space_group": "Ibam (72)", "delta_e_f_mev_per_atom": -190, "lattice_angstrom": [[-3.563, -5.476, -0.562], [5.135, -7.497, 2.242], [-1.867, -3.577, 8.445]], "species": ["Ag", "Ag", "Ag", "Ag", "Ag", "Ag", "Zn", "Zn", "Zn", "Zn", "Zn", "Zn", "Zn", "Zn", "Zn", "Zn", "Ba", "Ba", "Ba", "Ba"], "fractional_positions": [[0.372, 0.511, 0.745], [0.250, 0.000, 0.000], [0.872, 0.745, 0.511], [0.128, 0.255, 0.489], [0.628, 0.489, 0.255], [0.750, 0.000, 0.000], [0.496, 0.754, 0.754], [0.250, 0.500, 0.500], [0.372, 0.244, 0.011], [0.750, 0.500, 0.500], [0.004, 0.246, 0.246], [0.872, 0.011, 0.244], [0.628, 0.756, 0.989], [0.128, 0.989, 0.756], [0.996, 0.754, 0.754], [0.504, 0.246, 0.246], [0.376, 0.872, 0.376], [0.876, 0.376, 0.872], [0.124, 0.624, 0.128], [0.624, 0.128, 0.624]]}

---

No. 16
{"formula": "BaZn4Ag12", "functional": "PBE", "state": "relaxed", "space_group": "Im-3 (204)", "delta_e_f_mev_per_atom": 216, "lattice_angstrom": [[-3.980, -5.362, 4.135], [7.668, -1.684, 0.225], [-1.209, 7.118, 3.093]], "species": ["Ag", "Ag", "Ag", "Ag", "Ag", "Ag", "Ag", "Ag", "Ag", "Ag", "Ag", "Ag", "Zn", "Zn", "Zn", "Zn", "Ba"], "fractional_positions": [[0.160, 0.350, 0.510], [0.190, 0.840, 0.350], [0.650, 0.810, 0.160], [0.350, 0.190, 0.840], [0.510, 0.160, 0.350], [0.350, 0.510, 0.160], [0.650, 0.490, 0.840], [0.160, 0.650, 0.810], [0.490, 0.840, 0.650], [0.840, 0.350, 0.190], [0.810, 0.160, 0.650], [0.840, 0.650, 0.490], [0.500, 0.000, 0.000], [0.500, 0.500, 0.500], [0.000, 0.000, 0.500], [0.000, 0.500, 0.000], [0.000, 0.000, 0.000]]}

---

No. 17
{"formula": "Ba5Zn4Ag", "functional": "PBE", "state": "relaxed", "space_group": "P4/mmm (123)", "delta_e_f_mev_per_atom": -170, "lattice_angstrom": [[4.094, 0.000, 0.000], [0.000, 4.094, 0.000], [0.000, 0.000, 20.768]], "species": ["Zn", "Zn", "Zn", "Zn", "Ba", "Ba", "Ba", "Ba", "Ba", "Ag"], "fractional_positions": [[0.000, 0.000, 0.400], [0.000, 0.000, 0.600], [0.000, 0.000, 0.201], [0.000, 0.000, 0.799], [0.500, 0.500, 0.899], [0.500, 0.500, 0.500], [0.500, 0.500, 0.301], [0.500, 0.500, 0.699], [0.500, 0.500, 0.101], [0.000, 0.000, 0.000]]}

---

No. 18
{"formula": "BaZnAg2", "functional": "PBE", "state": "relaxed", "space_group": "Pmmm (47)", "delta_e_f_mev_per_atom": -23, "lattice_angstrom": [[3.637, 0.000, 0.000], [0.000, 3.613, 0.000], [0.000, 0.000, 7.504]], "species": ["Ag", "Ag", "Ba", "Zn"], "fractional_positions": [[0.000, 0.000, 0.565], [0.000, 0.000, 0.935], [0.500, 0.500, 0.250], [0.500, 0.500, 0.750]]}

---

No. 19
{"formula": "BaZn2Ag5", "functional": "PBE", "state": "relaxed", "space_group": "Immm (71)", "delta_e_f_mev_per_atom": -80, "lattice_angstrom": [[-0.920, 1.982, -3.748], [-4.196, -4.037, -3.616], [-6.486, 2.202, 0.245]], "species": ["Ag", "Ag", "Ag", "Ag", "Ag", "Zn", "Zn", "Ba"], "fractional_positions": [[0.647, 0.539, 0.167], [0.353, 0.833, 0.461], [0.647, 0.167, 0.539], [0.000, 0.500, 0.500], [0.353, 0.461, 0.833], [0.751, 0.749, 0.749], [0.249, 0.251, 0.251], [0.000, 0.000, 0.000]]}

---

No. 20
{"formula": "Ba2Zn3Ag17", "functional": "PBE", "state": "relaxed", "space_group": "R-3m (166)", "delta_e_f_mev_per_atom": 52, "lattice_angstrom": [[-7.134, -0.570, 3.231], [2.490, 0.144, 7.446], [-1.022, 7.718, 1.026]], "species": ["Ag", "Ag", "Ag", "Ag", "Ag", "Ag", "Ag", "Ag", "Ag", "Ag", "Ag", "Ag", "Ag", "Ag", "Ag", "Ag", "Ag", "Ba", "Ba", "Zn", "Zn", "Zn"], "fractional_positions": [[0.829, 0.328, 0.328], [0.903, 0.903, 0.903], [0.500, 0.000, 0.000], [0.000, 0.261, 0.739], [0.000, 0.000, 0.500], [0.261, 0.739, 0.000], [0.261, 0.000, 0.739], [0.672, 0.171, 0.672], [0.328, 0.328, 0.829], [0.171, 0.672, 0.672], [0.097, 0.097, 0.097], [0.328, 0.829, 0.328], [0.000, 0.500, 0.000], [0.000, 0.739, 0.261], [0.672, 0.672, 0.171], [0.739, 0.000, 0.261], [0.739, 0.261, 0.000], [0.335, 0.335, 0.335], [0.665, 0.665, 0.665], [0.000, 0.500, 0.500], [0.500, 0.000, 0.500], [0.500, 0.500, 0.000]]}